[1]
BaFe2PH | PBE-GGA | optimized geometry

a = 4.1383 Å, b = 6.6324 Å, c = 4.1383 Å
α = 90.00°, β = 90.00°, γ = 90.00°
Closest atoms and distances in Å follow each position.
Sites, in units of the cell vectors:
Ba  0.0000  0.5000  0.0000  4 H 2.93
Fe  0.5000  0.0000  0.0000  2 P 2.07
H  0.5000  0.5000  0.5000  4 Ba 2.93
Fe  0.0000  0.0000  0.5000  2 P 2.07
P  0.0000  0.0000  0.0000  4 Fe 2.07

Relative energy among the computed polymorphs   0.000 eV/atom

=====

[2]
Si2Sb2Pb | PBE-GGA | optimized geometry

a = 5.3118 Å, b = 5.3118 Å, c = 5.7544 Å
α = 62.51°, β = 62.51°, γ = 90.00°
Closest atoms and distances in Å follow each position.
Sites, in units of the cell vectors:
Si  0.6390  0.6390  0.7221  1 Si 2.42
Sb  0.7500  0.2500  0.5000  4 Si 2.83
Si  0.3610  0.3610  0.2779  1 Si 2.42
Sb  0.2500  0.7500  0.5000  4 Si 2.83
Pb  0.0000  0.0000  0.0000  2 Si 3.15, 8 Sb 3.44

E_form (uncorrected)   0.276 eV per atom
Relative energy among the computed polymorphs   0.000 eV/atom

=====

[3]
BSb2Ru | PBE-GGA | optimized geometry

a = 5.8022 Å, b = 5.8022 Å, c = 6.5946 Å
α = 63.90°, β = 63.90°, γ = 90.00°
Closest atoms and distances in Å follow each position.
Sites, in units of the cell vectors:
Sb  0.8750  0.8354  0.7500  2 B 2.29, 2 Ru 2.57
B  0.2500  0.7500  0.5000  4 Sb 2.29
Sb  0.5854  0.1250  0.2500  2 B 2.29, 2 Ru 2.57
Sb  0.3750  0.4146  0.7500  2 B 2.29, 2 Ru 2.57
B  0.5000  0.5000  0.0000  4 Sb 2.29
Sb  0.1646  0.6250  0.2500  2 B 2.29, 2 Ru 2.57
Ru  0.0000  0.0000  0.0000  4 Sb 2.57
Ru  0.7500  0.2500  0.5000  4 Sb 2.57

E_form (uncorrected)   0.543 eV per atom

=====

[4]
EuSn2Pt | PBE-GGA | optimized geometry

a = 4.5093 Å, b = 4.5093 Å, c = 6.3232 Å
α = 69.11°, β = 69.11°, γ = 60.00°
Closest atoms and distances in Å follow each position.
Sites, in units of the cell vectors:
Pt  0.0000  0.0000  0.0000  6 Sn 2.77
Sn  0.7215  0.7215  0.8355  3 Pt 2.77
Eu  0.5000  0.5000  0.5000  6 Sn 3.24
Sn  0.2785  0.2785  0.1645  3 Pt 2.77

E_tot   -6.783 eV per atom

=====

Question: Number 2 is which compound?
Answer: Si2Sb2Pb

=====

Please write out number 1 again, unchanged.
BaFe2PH | PBE-GGA | optimized geometry

a = 4.1383 Å, b = 6.6324 Å, c = 4.1383 Å
α = 90.00°, β = 90.00°, γ = 90.00°
Closest atoms and distances in Å follow each position.
Sites, in units of the cell vectors:
Ba  0.0000  0.5000  0.0000  4 H 2.93
Fe  0.5000  0.0000  0.0000  2 P 2.07
H  0.5000  0.5000  0.5000  4 Ba 2.93
Fe  0.0000  0.0000  0.5000  2 P 2.07
P  0.0000  0.0000  0.0000  4 Fe 2.07

Relative energy among the computed polymorphs   0.000 eV/atom